Record 1
# TlCd2Ni2

Crystalline TlCd2Ni2 at its relaxed geometry (PBE-GGA, Alexandria).

Cell lengths 6.808, 6.808, 3.869 Å; angles 90.00, 90.00, 90.00 degrees
Space group P4/mbm (No. 127)
Asymmetric unit:
Tl  0.000  0.000  0.000 [2 per cell]
Cd  0.158  0.342  0.500 [4 per cell]
Ni  0.132  0.632  0.000 [4 per cell]

## Properties
polymorph energy (0 for the lowest one) = 0 meV per atom

Record 2
# Rb3Li2ErBr8

Crystalline Rb3Li2ErBr8 at its relaxed geometry (PBE-GGA, Alexandria).

Cell lengths 7.7648, 7.7648, 9.8707 Å; angles 90.00, 90.00, 120.00 degrees
Space group P-3m1 (No. 164)
Asymmetric unit:
Rb  0.0000  0.0000  0.0000 [1 per cell]
Rb  0.3333  0.6667  0.6324 [2 per cell]
Li  0.3333  0.6667  0.1986 [2 per cell]
Er  0.0000  0.0000  0.5000 [1 per cell]
Br  0.1653  0.3307  0.3329 [6 per cell]
Br  0.3333  0.6667  0.9596 [2 per cell]

## Properties
uncorrected formation energy = -1690 meV per atom

Record 3
# MnFeIr2

Crystalline MnFeIr2 at its relaxed geometry (PBE-GGA, Alexandria).

Cell lengths 3.834, 3.834, 3.613 Å; angles 90.00, 90.00, 90.00 degrees
Space group P4/mmm (No. 123)
Asymmetric unit:
Mn  0.000  0.000  0.000 [1 per cell]
Fe  0.500  0.500  0.000 [1 per cell]
Ir  0.000  0.500  0.500 [2 per cell]

## Properties
polymorph energy (0 for the lowest one) = 0 meV per atom

Record 4
# BaBe4Si

Crystalline BaBe4Si at its relaxed geometry (PBE-GGA, Alexandria).

Cell lengths 7.201, 7.201, 7.201 Å; angles 90.00, 90.00, 90.00 degrees
Space group F-43m (No. 216)
Asymmetric unit:
Ba  0.000  0.000  0.000 [4 per cell]
Be  0.118  0.118  0.618 [16 per cell]
Si  0.250  0.250  0.250 [4 per cell]

## Properties
uncorrected formation energy = 764 meV per atom

| no. | electronic total energy (hartree per atom) |
| --- | --- |
| 1 | -0.1117 |
| 2 | -0.1269 |
| 3 | -0.3318 |
| 4 | -0.1082 |